## Er5B2O6F9 (PBEsol)

Data for Er5B2O6F9 after structural relaxation.

Geometry as extended XYZ:
```
44
Lattice="-4.784 -3.560 -0.305 4.414 -5.592 -3.960 3.934 -1.106 9.646" Properties=species:S:1:pos:R:3 pbc="T T T"
Er 1.159 -3.214 5.062
Er -0.970 -5.117 2.224
Er 2.405 -7.045 0.318
Er 4.534 -5.141 3.157
Er 1.971 -6.960 4.929
Er 0.085 -8.859 -1.765
Er 1.593 -3.299 0.452
Er 3.479 -1.399 7.146
Er -1.815 -3.570 -1.176
Er 1.445 -5.583 -3.089
B 3.585 -4.361 5.678
B -1.327 -2.431 1.740
B -0.021 -5.898 -0.297
B 4.891 -7.828 3.641
O 4.918 -4.672 5.600
O 3.163 -6.665 -2.052
O -1.354 -5.587 -0.219
O 0.401 -3.594 7.433
O 2.788 -4.768 4.611
O -2.029 -3.140 2.711
O 0.776 -5.491 0.769
O 5.593 -7.119 2.670
O 4.225 -7.091 4.604
O 0.573 -6.688 -1.266
O -0.661 -3.168 0.776
O 2.991 -3.571 6.646
F -1.061 -3.290 5.286
F 3.130 -3.643 2.121
F 4.625 -6.968 0.095
F 0.435 -6.616 3.260
F 1.992 -8.729 3.588
F 3.075 -4.850 -0.232
F 1.572 -1.529 1.793
F 0.489 -5.409 5.613
F -3.621 -4.914 -1.291
F 3.251 -4.239 -2.974
F 2.856 -1.998 4.450
F 0.623 -3.886 3.046
F 0.709 -8.261 0.931
F 2.941 -6.373 2.334
F 2.862 -6.223 6.798
F 1.195 -8.108 -3.506
F 0.703 -4.036 -1.417
F 2.369 -2.151 8.887
```

DOS at the Fermi energy = 0.0000 states/eV/atom
size of the total moment = 0.0 μB per cell
ΔE_f (raw) = -3.7306 eV per atom

---

## Ba2HgRh (PBEsol)

Data for Ba2HgRh after structural relaxation.

Geometry as extended XYZ:
```
4
Lattice="-2.857 -2.211 3.875 -1.217 -5.151 -0.215 2.279 -3.403 3.360" Properties=species:S:1:pos:R:3 pbc="T T T"
Ba 0.000 0.000 0.000
Ba -1.346 -8.074 5.264
Hg -0.897 -5.383 3.510
Rh -0.449 -2.691 1.755
```

DOS at the Fermi energy = 1.0612 states/eV/atom
size of the total moment = 0.0 μB per cell
ΔE_f = -31 meV/atom

---

## NaNdC2O6 (PBEsol)

Data for NaNdC2O6 after structural relaxation.

Geometry as extended XYZ:
```
20
Lattice="-4.073 0.987 2.913 -3.583 -3.597 -3.792 1.467 -5.639 3.962" Properties=species:S:1:pos:R:3 pbc="T T T"
Na -1.680 -1.900 -1.705
Na -1.082 -4.855 0.133
Nd -2.034 -1.829 2.248
Nd -3.930 -7.288 1.446
C -3.774 -2.988 0.207
C -2.432 -5.197 2.832
C 1.345 -5.741 3.826
C -2.736 -6.281 -1.697
O 0.081 -2.819 1.068
O -1.734 -8.196 0.353
O -2.494 -3.062 0.102
O -3.601 -5.549 3.237
O -1.852 -5.973 1.987
O -4.243 -2.638 1.352
O -1.291 -0.414 0.329
O -5.529 -5.411 1.052
O -3.271 -5.958 -0.562
O -3.548 0.133 1.943
O -1.884 -4.081 3.220
O -4.555 -3.206 -0.812
```

DOS at the Fermi energy = 0.0000 states/eV/atom
size of the total moment = 0.0 μB per cell
ΔE_f (raw) = -2.1340 eV per atom